PuAg4F10: optimized geometry, PBE.

Summary:
* SG: I4/m
* formation energy (no corrections): -1886.5 meV per atom
* calculated total energy: -4.850 eV per atom

Cell lengths 6.930, 6.930, 6.930 Å; angles 99.53, 99.53, 131.99 degrees
Fractional positions:
Pu  0.000  0.000  0.000
Ag  0.191  0.412  0.604
Ag  0.412  0.809  0.221
Ag  0.588  0.191  0.779
Ag  0.809  0.588  0.396
F  0.069  0.351  0.959
F  0.110  0.069  0.718
F  0.250  0.750  0.500
F  0.351  0.392  0.282
F  0.392  0.110  0.041
F  0.608  0.890  0.959
F  0.649  0.608  0.718
F  0.750  0.250  0.500
F  0.890  0.931  0.282
F  0.931  0.649  0.041